# NbVTc

NbVTc after structural relaxation (PBE, Alexandria).

Cell lengths 3.116, 3.116, 9.509 Å; angles 90.00, 90.00, 90.00 degrees
Sites, in units of the cell vectors:
Nb  0.250  0.250  0.096
Nb  0.750  0.750  0.904
V  0.250  0.250  0.420
V  0.750  0.750  0.580
Tc  0.250  0.250  0.734
Tc  0.750  0.750  0.266

Results
Total DFT energy (no corrections)   -10.108 eV per atom
Energy above the lowest structure with this stoichiometry   0 meV/atom
N(E_F)   0.5031 states/eV/atom

# Ca3ClF

Ca3ClF after structural relaxation (PBE, Alexandria).

Cell lengths 5.334, 5.334, 5.334 Å; angles 90.00, 90.00, 90.00 degrees
Sites, in units of the cell vectors:
Ca  0.000  0.000  0.500
Ca  0.000  0.500  0.000
Ca  0.500  0.000  0.000
Cl  0.500  0.500  0.500
F  0.000  0.000  0.000

Results
Total DFT energy (no corrections)   -3.025 eV per atom
Energy above the lowest structure with this stoichiometry   0 meV/atom
N(E_F)   1.0475 states/eV/atom
Energy relative to the elements, uncorrected   -1.08 eV per atom

# Sm4PCS2

Sm4PCS2 after structural relaxation (PBE, Alexandria).

Cell lengths 6.906, 6.906, 6.906 Å; angles 131.87, 131.87, 70.43 degrees
Sites, in units of the cell vectors:
Sm  0.226  0.226  0.000
Sm  0.502  0.002  0.500
Sm  0.774  0.774  0.000
Sm  0.998  0.498  0.500
P  0.750  0.250  0.500
C  0.000  0.000  0.000
S  0.250  0.750  0.500
S  0.500  0.500  0.000

Results
Total DFT energy (no corrections)   -6.685 eV per atom
N(E_F)   0.2932 states/eV/atom
Energy relative to the elements, uncorrected   -1.46 eV per atom

# BeGeTeN2

BeGeTeN2 after structural relaxation (PBE, Alexandria).

Cell lengths 3.754, 3.754, 5.215 Å; angles 90.00, 90.00, 90.00 degrees
Sites, in units of the cell vectors:
Be  0.000  0.000  0.000
Ge  0.500  0.500  0.500
Te  0.000  0.000  0.500
N  0.000  0.500  0.000
N  0.500  0.000  0.000

Results
Total DFT energy (no corrections)   -4.294 eV per atom
Energy above the lowest structure with this stoichiometry   122 meV/atom
N(E_F)   0.6872 states/eV/atom
Energy relative to the elements, uncorrected   1.33 eV per atom

# MgRe3

MgRe3 after structural relaxation (PBE, Alexandria).

Cell lengths 2.714, 2.714, 9.232 Å; angles 90.00, 90.00, 113.26 degrees
Sites, in units of the cell vectors:
Mg  0.000  0.000  0.000
Re  0.000  0.000  0.500
Re  0.500  0.500  0.259
Re  0.500  0.500  0.741

Results
Total DFT energy (no corrections)   -9.449 eV per atom
Energy above the lowest structure with this stoichiometry   108 meV/atom
N(E_F)   0.8688 states/eV/atom

# In2CuSe

In2CuSe after structural relaxation (PBE, Alexandria).

Cell lengths 6.045, 6.045, 6.045 Å; angles 140.18, 140.18, 57.58 degrees
Sites, in units of the cell vectors:
In  0.250  0.750  0.500
In  0.750  0.250  0.500
Cu  0.000  0.000  0.000
Se  0.500  0.500  0.000

Results
Total DFT energy (no corrections)   -3.099 eV per atom
N(E_F)   0.2993 states/eV/atom
Energy relative to the elements, uncorrected   0.17 eV per atom